# Pb3SO, optimized geometry, DFT PBE
# Relative energy among the computed polymorphs: 0.000 eV per atom
# Uncorrected formation energy: -0.209 eV/atom
# D(E_F): 4.2 states/eV/f.u.
# E_tot: -21.3 eV for the cell shown
data_Pb3SO
_symmetry_space_group_name_H-M 'P m -3 m'
_symmetry_Int_Tables_number 221
_symmetry_space_group_name_Hall '-P 4 2 3'
_cell_length_a 5.044
_cell_length_b 5.044
_cell_length_c 5.044
_cell_angle_alpha 90.00
_cell_angle_beta 90.00
_cell_angle_gamma 90.00
loop_
_atom_site_label
_atom_site_fract_x
_atom_site_fract_y
_atom_site_fract_z
_atom_site_occupancy
Pb1 0.000 0.000 0.500 1
S1 0.500 0.500 0.500 1
O1 0.000 0.000 0.000 1